No. 1
DFT (PBE-GGA) results for a relaxed ScSnPS2 crystal.

Calculated values
- E_tot: -23.25 eV for the cell shown
- ΔE_f (raw): 0.150 eV per atom
- ΔE to the lowest computed polymorph: 2.24 eV/f.u.

Cell: 4.9236 4.9236 4.9756 Å, 90.00 90.00 90.00°
Space group P4/mmm (No. 123)
One atom of each set of equivalent atoms:
Sc1 0.0000 0.0000 0.0000 (multiplicity 1)
Sn1 0.5000 0.5000 0.5000 (multiplicity 1)
P1 0.5000 0.5000 0.0000 (multiplicity 1)
S1 0.0000 0.5000 0.5000 (multiplicity 2)

No. 2
DFT (PBE-GGA) results for a relaxed TbScPS crystal.

Calculated values
- E_tot: -82.08 eV for the cell shown
- ΔE_f (raw): -1.715 eV per atom

Cell: 3.7901 3.7901 19.8857 Å, 90.00 90.00 120.00°
Space group R3m (No. 160, hexagonal axes)
One atom of each set of equivalent atoms:
Tb1 0.0000 0.0000 0.0000 (multiplicity 3)
Sc1 0.0000 0.0000 0.8216 (multiplicity 3)
P1 0.0000 0.0000 0.4183 (multiplicity 3)
S1 0.0000 0.0000 0.2386 (multiplicity 3)